Compound: MoPtNO2
Source: the Alexandria database
Functional: PBE with a Hubbard U
Structure: optimized geometry

a b c (Å): 4.2068 4.2068 3.7009
angles (deg): 90.00 90.00 90.00
Element x y z (fractional)
Mo1 0.0000 0.0000 0.0000
Pt1 0.5000 0.5000 0.5000
N1 0.5000 0.5000 0.0000
O1 0.0000 0.5000 0.5000
O2 0.5000 0.0000 0.5000

DOS(E_F) = 4.4 states/eV per cell
Crystal system = tetragonal
Calculated total energy = -26.8 eV per cell